No. 1
Here is crystalline Li3Zn2In2 at its relaxed geometry from the Alexandria database. Energies are from GGA-PBE.

Properties
- Theoretical density: 5.1 Mg/m³
- Symmetry: No. 12
- Raw total energy: -2.19 eV per atom
- ΔE_f: -0.219 eV per atom

a b c (Å): 4.6207 4.6207 7.2311
angles (deg): 90.29 108.35 119.95
Last column: nearest neighbours and their distance in Å.
Atoms (fractional coordinates):
Li  0.7113  0.8553  0.5666  1 Zn 2.69, 4 Li 2.81-2.92, 3 In 2.89
Li  0.0000  0.0000  0.0000  6 Zn 2.89-2.91, 2 Li 2.92, 6 In 3.21-3.23
Li  0.2887  0.1447  0.4334  1 Zn 2.69, 4 Li 2.81-2.92, 3 In 2.89
Zn  0.5545  0.2784  0.8329  4 Li 2.69-2.91, 4 In 2.75-2.93
Zn  0.4455  0.7216  0.1671  4 Li 2.69-2.91, 4 In 2.75-2.93
In  0.8462  0.4228  0.2690  4 Zn 2.75-2.93, 3 Li 2.89
In  0.1538  0.5772  0.7310  4 Zn 2.75-2.93, 3 Li 2.89

No. 2
Here is crystalline Pr2Pt3 at its relaxed geometry from the Alexandria database. Energies are from GGA-PBE.

Properties
- Theoretical density: 12.6 Mg/m³
- Symmetry: No. 71
- Raw total energy: -6.57 eV per atom
- ΔE_f: -1.031 eV per atom

a b c (Å): 4.1422 5.6952 5.6952
angles (deg): 72.21 68.67 68.67
Last column: nearest neighbours and their distance in Å.
Atoms (fractional coordinates):
Pr  0.7765  0.7235  0.7235  8 Pt 3.02-3.09
Pr  0.2235  0.2765  0.2765  8 Pt 3.02-3.09
Pt  0.0000  0.0000  0.0000  4 Pt 2.87, 4 Pr 3.07
Pt  0.5000  0.2970  0.7030  3 Pt 2.73-2.87, 2 Pr 3.02
Pt  0.5000  0.7030  0.2970  3 Pt 2.73-2.87, 2 Pr 3.02